TbPmBeSi: relaxed, PBE-GGA.

Cell: 4.9521 4.9521 4.9521 Å, 60.00 60.00 60.00°
Last column: nearest neighbours and their distance in Å.
Sites, in units of the cell vectors:
Be1 0.2500 0.2500 0.2500  4 Tb 3.03, 4 Pm 3.03
Si1 0.7500 0.7500 0.7500  4 Pm 3.03, 4 Tb 3.03
Pm1 0.5000 0.5000 0.5000  4 Si 3.03, 4 Be 3.03
Tb1 0.0000 0.0000 0.0000  4 Be 3.03, 4 Si 3.03

Calculated values
space-group type: No. 216
DFT total energy: -4.84 eV/atom
density: 6.6 g/cm3
raw formation energy: -0.826 eV per formula unit
total magnetic moment: 0.0 μB/cell